(1)
A plane-wave DFT calculation with PBE was carried out for crystalline ScMnAl2Ru at its relaxed geometry.

Cell lengths 4.9888, 4.9888, 4.4148 Å; angles 90.00, 90.00, 90.00 degrees
With the nearest neighbours (Å) after each atom.
Atoms (fractional coordinates):
Sc (0.0000, 0.0000, 0.0000)  2 Ru 2.21
Mn (0.5000, 0.5000, 0.5000)  8 Al 3.33, 4 Ru 3.53
Al (0.0000, 0.5000, 0.0000)  2 Sc 2.49
Al (0.5000, 0.0000, 0.0000)  2 Sc 2.49
Ru (0.0000, 0.0000, 0.5000)  2 Sc 2.21

Calculated values
The symmetry is No. 123. The calculation puts the offset from the most stable computed form at 1476.6 meV/atom. As for the formation energy: 1.66 eV per atom.


(2)
A plane-wave DFT calculation with PBE was carried out for crystalline NaLi2Br at its relaxed geometry.

Cell lengths 9.3692, 9.3692, 9.3692 Å; angles 22.84, 22.84, 22.84 degrees
With the nearest neighbours (Å) after each atom.
Atoms (fractional coordinates):
Na (0.0000, 0.0000, 0.0000)  6 Li 3.64, 6 Na 3.71
Li (0.2260, 0.2260, 0.2260)  3 Br 2.69
Li (0.7740, 0.7740, 0.7740)  3 Br 2.69
Br (0.5000, 0.5000, 0.5000)  6 Li 2.69

Calculated values
The symmetry is No. 166. The calculation puts the offset from the most stable computed form at 0.0 meV/atom. The raw formation energy comes out at -0.63 eV/atom.


(3)
A plane-wave DFT calculation with PBE was carried out for crystalline Tb8Sm6Th at its relaxed geometry.

Cell lengths 8.7084, 8.7084, 8.7084 Å; angles 63.13, 63.13, 63.13 degrees
With the nearest neighbours (Å) after each atom.
Atoms (fractional coordinates):
Tb (0.0771, 0.0771, 0.0771)  4 Tb 3.21-3.44, 3 Sm 3.43
Tb (0.2179, 0.6129, 0.2524)  3 Sm 3.39-3.71, 5 Tb 3.44-3.48, 1 Th 3.51
Tb (0.2524, 0.2179, 0.6129)  3 Sm 3.39-3.71, 5 Tb 3.44-3.48, 1 Th 3.51
Tb (0.3871, 0.7476, 0.7821)  3 Sm 3.39-3.71, 5 Tb 3.44-3.48, 1 Th 3.51
Tb (0.6129, 0.2524, 0.2179)  3 Sm 3.39-3.71, 5 Tb 3.44-3.48, 1 Th 3.51
Tb (0.7476, 0.7821, 0.3871)  3 Sm 3.39-3.71, 5 Tb 3.44-3.48, 1 Th 3.51
Tb (0.7821, 0.3871, 0.7476)  3 Sm 3.39-3.71, 5 Tb 3.44-3.48, 1 Th 3.51
Tb (0.9229, 0.9229, 0.9229)  4 Tb 3.21-3.44, 3 Sm 3.43
Sm (0.0377, 0.6029, 0.7312)  4 Tb 3.39-3.71, 1 Th 3.48, 2 Sm 3.53
Sm (0.2688, 0.9624, 0.3971)  4 Tb 3.39-3.71, 1 Th 3.48, 2 Sm 3.53
Sm (0.3971, 0.2688, 0.9624)  4 Tb 3.39-3.71, 1 Th 3.48, 2 Sm 3.53
Sm (0.6029, 0.7312, 0.0376)  4 Tb 3.39-3.71, 1 Th 3.48, 2 Sm 3.53
Sm (0.7312, 0.0376, 0.6029)  4 Tb 3.39-3.71, 1 Th 3.48, 2 Sm 3.53
Sm (0.9624, 0.3971, 0.2688)  4 Tb 3.39-3.71, 1 Th 3.48, 2 Sm 3.53
Th (0.5000, 0.5000, 0.5000)  6 Sm 3.48, 6 Tb 3.51

Calculated values
The symmetry is No. 148. As for the formation energy: 0.12 eV per atom.


(4)
A plane-wave DFT calculation with PBE was carried out for crystalline Tb6InAu5 at its relaxed geometry.

Cell lengths 5.1079, 7.3571, 8.1345 Å; angles 90.00, 108.38, 90.00 degrees
With the nearest neighbours (Å) after each atom.
Atoms (fractional coordinates):
Tb (0.0000, 0.2368, 0.0000)  6 Au 3.07-3.13, 2 In 3.21
Tb (0.0000, 0.7632, 0.0000)  6 Au 3.07-3.13, 2 In 3.21
Tb (0.3299, 0.2481, 0.6592)  7 Au 3.09-3.28, 1 In 3.22
Tb (0.3299, 0.7519, 0.6592)  7 Au 3.09-3.28, 1 In 3.22
Tb (0.6701, 0.2481, 0.3408)  7 Au 3.09-3.28, 1 In 3.22
Tb (0.6701, 0.7519, 0.3408)  7 Au 3.09-3.28, 1 In 3.22
In (0.5000, 0.5000, 0.0000)  8 Tb 3.21-3.22, 4 Au 3.49-3.50
Au (0.1531, 0.5000, 0.3084)  8 Tb 3.07-3.28
Au (0.1675, 0.0000, 0.3363)  8 Tb 3.09-3.14
Au (0.5000, 0.0000, 0.0000)  8 Tb 3.09-3.20
Au (0.8325, 0.0000, 0.6637)  8 Tb 3.09-3.14
Au (0.8469, 0.5000, 0.6916)  8 Tb 3.07-3.28

Calculated values
The symmetry is No. 10. As for the formation energy: -0.78 eV per atom.


(5)
A plane-wave DFT calculation with PBE was carried out for crystalline CaZn5AgAu2 at its relaxed geometry.

Cell lengths 4.9862, 4.9862, 7.5781 Å; angles 90.00, 90.00, 90.00 degrees
With the nearest neighbours (Å) after each atom.
Atoms (fractional coordinates):
Ca (0.0000, 0.0000, 0.0000)  12 Zn 3.38-3.53, 2 Ag 3.79
Zn (0.0000, 0.5000, 0.3018)  2 Au 2.50
Zn (0.0000, 0.5000, 0.6982)  2 Au 2.50
Zn (0.5000, 0.0000, 0.3018)  2 Au 2.50
Zn (0.5000, 0.0000, 0.6982)  2 Au 2.50
Zn (0.5000, 0.5000, 0.0000)  2 Au 2.42
Ag (0.0000, 0.0000, 0.5000)  8 Zn 2.91
Au (0.5000, 0.5000, 0.3197)  5 Zn 2.42-2.50
Au (0.5000, 0.5000, 0.6803)  5 Zn 2.42-2.50

Calculated values
The symmetry is No. 123. As for the formation energy: -0.04 eV per atom.


(6)
A plane-wave DFT calculation with PBE was carried out for crystalline Zr2MnCd2 at its relaxed geometry.

Cell lengths 7.0224, 7.0224, 4.1521 Å; angles 90.00, 90.00, 90.00 degrees
With the nearest neighbours (Å) after each atom.
Atoms (fractional coordinates):
Zr (0.1738, 0.3262, 0.0000)  6 Cd 2.80-3.02
Zr (0.3262, 0.8262, 0.0000)  6 Cd 2.80-3.02
Zr (0.6738, 0.1738, 0.0000)  6 Cd 2.80-3.02
Zr (0.8262, 0.6738, 0.0000)  6 Cd 2.80-3.02
Mn (0.0000, 0.0000, 0.5000)  4 Cd 2.73
Mn (0.5000, 0.5000, 0.5000)  4 Cd 2.73
Cd (0.1369, 0.6369, 0.5000)  1 Cd 2.72, 2 Mn 2.73, 6 Zr 2.80-3.02
Cd (0.3631, 0.1369, 0.5000)  1 Cd 2.72, 2 Mn 2.73, 6 Zr 2.80-3.02
Cd (0.6369, 0.8631, 0.5000)  1 Cd 2.72, 2 Mn 2.73, 6 Zr 2.80-3.02
Cd (0.8631, 0.3631, 0.5000)  1 Cd 2.72, 2 Mn 2.73, 6 Zr 2.80-3.02

Calculated values
The symmetry is No. 127. The calculation puts the offset from the most stable computed form at 0.0 meV/atom. As for the formation energy: 0.47 eV per atom.


no.,density of states at the Fermi level (states/eV/cell)
1,5.8
2,1.1
3,23.1
4,7.0
5,3.5
6,17.2